[1]
BaZr2Mo: relaxed, PBE.

a = 3.7370 Å, b = 3.7370 Å, c = 7.8749 Å
α = 90.00°, β = 90.00°, γ = 90.00°
Positions (direct):
Zr  0.5000  0.5000  0.1720
Zr  0.0000  0.0000  0.9699
Mo  0.5000  0.5000  0.8347
Ba  0.0000  0.0000  0.5234

Output
spin magnetization	0.00	μB/f.u.
crystal system	tetragonal
distance to the lowest polymorph of the same formula	199	meV per atom

[2]
KInHg2Pt: relaxed, PBE.

a = 5.4016 Å, b = 5.4016 Å, c = 5.1698 Å
α = 90.00°, β = 90.00°, γ = 90.00°
Positions (direct):
Hg  0.0000  0.5000  0.0000
Pt  0.0000  0.0000  0.0000
In  0.0000  0.0000  0.5000
Hg  0.5000  0.0000  0.0000
K  0.5000  0.5000  0.5000

Output
spin magnetization	0.00	μB/f.u.
crystal system	tetragonal

[3]
LaTm2Be: relaxed, PBE.

a = 3.4593 Å, b = 3.4593 Å, c = 11.5133 Å
α = 81.36°, β = 81.36°, γ = 60.00°
Positions (direct):
Be  0.0000  0.0000  0.0000
Tm  0.0831  0.0831  0.7508
La  0.5000  0.5000  0.5000
Tm  0.9169  0.9169  0.2492

Output
spin magnetization	0.00	μB/f.u.
crystal system	trigonal
distance to the lowest polymorph of the same formula	646	meV per atom

Let's list total energy in order: -7.010 -2.363 -3.691 eV/atom.